Density functional theory data (PBE) for a relaxed structure of Cd2As.

```
Cd2As
1.0
3.742 -2.370 0.000
3.742 2.370 0.000
-1.846 0.000 4.181
Cd As
2 1
direct
0.231 0.231 0.287
0.769 0.769 0.713
0.500 0.500 0.000
```

Summary:
Raw total energy in eV/atom: -2.159
Total magnetization in μB per formula unit: 0.0
Energy relative to the lowest polymorph listed for this composition in eV/f.u.: 0.00
E_form in eV/atom: 0.0009